The following is a PBE-GGA calculation of a geometry-optimized Pr2NpUN4 structure, from the Alexandria database.

ρ	10.669	Mg/m³
E	-77.558	eV/f.u.
calculated volume	15.8	Å³ per atom

a = 6.1058 Å, b = 3.5329 Å, c = 6.2159 Å
α = 90.00°, β = 109.35°, γ = 90.00°
With the nearest neighbours (Å) after each atom.
Fractional coordinates of all 8 atoms:
Pr  0.0000  0.0000  0.0000  6 N 2.69-2.70
Pr  0.5000  0.5000  0.0000  6 N 2.63-2.65
Np  0.0000  0.5000  0.5000  6 N 2.39-2.42
U  0.5000  0.0000  0.5000  6 N 2.33-2.34
N  0.2433  0.0000  0.7071  1 U 2.33, 2 Np 2.39
N  0.2737  0.5000  0.2944  2 U 2.34, 1 Np 2.42
N  0.7263  0.5000  0.7056  2 U 2.34, 1 Np 2.42
N  0.7567  0.0000  0.2929  1 U 2.33, 2 Np 2.39


The following is a PBE-GGA calculation of a geometry-optimized LiBeNi2 structure, from the Alexandria database.

ρ	5.366	Mg/m³
E	-17.642	eV/f.u.
DFT formation energy	-0.110	eV/atom
calculated volume	10.3	Å³ per atom

a = 4.5642 Å, b = 4.5642 Å, c = 4.5642 Å
α = 147.07°, β = 126.14°, γ = 64.59°
With the nearest neighbours (Å) after each atom.
Fractional coordinates of all 4 atoms:
Li  0.0000  0.0000  0.0000  4 Be 2.44, 8 Ni 2.48-2.70, 2 Li 2.59
Be  0.5000  0.5000  0.0000  4 Ni 2.17
Ni  0.2745  0.7745  0.5000  2 Be 2.17
Ni  0.7255  0.2255  0.5000  2 Be 2.17


The following is a PBE-GGA calculation of a geometry-optimized Be2RuCl structure, from the Alexandria database.

distance to the lowest polymorph of the same formula	532	meV per atom
ρ	5.427	Mg/m³
E	-16.652	eV/f.u.
calculated volume	11.8	Å³ per atom

a = 4.6632 Å, b = 4.6632 Å, c = 4.6632 Å
α = 143.18°, β = 127.95°, γ = 65.45°
With the nearest neighbours (Å) after each atom.
Fractional coordinates of all 4 atoms:
Be  0.2472  0.2472  0.0000  2 Cl 2.44, 2 Ru 2.47, 4 Be 2.52
Be  0.7528  0.7528  0.0000  2 Cl 2.44, 2 Ru 2.47, 4 Be 2.52
Ru  0.5000  0.0000  0.5000  4 Be 2.47, 4 Cl 2.52
Cl  0.0000  0.5000  0.5000  4 Be 2.44, 4 Ru 2.52


The following is a PBE-GGA calculation of a geometry-optimized Y12Fe6Hg structure, from the Alexandria database.

ρ	5.774	Mg/m³
E	-129.811	eV/f.u.
DFT formation energy	-0.061	eV/atom
calculated volume	24.3	Å³ per atom

a = 8.4284 Å, b = 8.4284 Å, c = 8.4284 Å
α = 109.47°, β = 109.47°, γ = 109.47°
With the nearest neighbours (Å) after each atom.
Fractional coordinates of all 19 atoms:
Y  0.1029  0.8053  0.2976  3 Fe 2.74-2.93
Y  0.1947  0.2976  0.4923  3 Fe 2.74-2.93
Y  0.1947  0.7024  0.8971  3 Fe 2.74-2.93
Y  0.2976  0.1029  0.8053  3 Fe 2.74-2.93
Y  0.2976  0.4923  0.1947  3 Fe 2.74-2.93
Y  0.4923  0.1947  0.2976  3 Fe 2.74-2.93
Y  0.5077  0.8053  0.7024  3 Fe 2.74-2.93
Y  0.7024  0.5077  0.8053  3 Fe 2.74-2.93
Y  0.7024  0.8971  0.1947  3 Fe 2.74-2.93
Y  0.8053  0.2976  0.1029  3 Fe 2.74-2.93
Y  0.8053  0.7024  0.5077  3 Fe 2.74-2.93
Y  0.8971  0.1947  0.7024  3 Fe 2.74-2.93
Fe  0.1090  0.6090  0.5000  1 Fe 2.12
Fe  0.3910  0.5000  0.8910  1 Fe 2.12
Fe  0.5000  0.1090  0.6090  1 Fe 2.12
Fe  0.5000  0.8910  0.3910  1 Fe 2.12
Fe  0.6090  0.5000  0.1090  1 Fe 2.12
Fe  0.8910  0.3910  0.5000  1 Fe 2.12
Hg  0.0000  0.0000  0.0000  12 Y 3.46


The following is a PBE-GGA calculation of a geometry-optimized Fe2SbPt structure, from the Alexandria database.

ρ	11.690	Mg/m³
E	-27.028	eV/f.u.
calculated volume	15.2	Å³ per atom

a = 4.8181 Å, b = 4.8181 Å, c = 4.8181 Å
α = 131.82°, β = 131.82°, γ = 70.52°
With the nearest neighbours (Å) after each atom.
Fractional coordinates of all 4 atoms:
Fe  0.0000  0.0000  0.0000  4 Pt 2.78, 4 Sb 2.78, 4 Fe 2.78
Fe  0.7500  0.2500  0.5000  4 Sb 2.78, 4 Pt 2.78, 4 Fe 2.78
Sb  0.2500  0.7500  0.5000  8 Fe 2.78, 4 Pt 2.78
Pt  0.5000  0.5000  0.0000  8 Fe 2.78, 4 Sb 2.78


The following is a PBE-GGA calculation of a geometry-optimized Na2SnPt2O6 structure, from the Alexandria database.

ρ	7.108	Mg/m³
E	-59.621	eV/f.u.
calculated volume	13.8	Å³ per atom

a = 5.5510 Å, b = 5.5510 Å, c = 5.9651 Å
α = 101.87°, β = 101.87°, γ = 116.12°
With the nearest neighbours (Å) after each atom.
Fractional coordinates of all 11 atoms:
Na  0.1817  0.8183  0.0000  6 O 2.36-2.56
Na  0.8183  0.1817  0.0000  6 O 2.36-2.56
Sn  0.0000  0.0000  0.5000  6 O 2.12-2.20
Pt  0.3351  0.6649  0.5000  4 O 2.04-2.10
Pt  0.6649  0.3351  0.5000  4 O 2.04-2.10
O  0.0367  0.3828  0.7034  1 Pt 2.04, 1 Sn 2.12
O  0.2593  0.2593  0.3144  2 Pt 2.10, 1 Sn 2.20
O  0.3828  0.0367  0.7034  1 Pt 2.04, 1 Sn 2.12
O  0.6172  0.9633  0.2966  1 Pt 2.04, 1 Sn 2.12
O  0.7407  0.7407  0.6856  2 Pt 2.10, 1 Sn 2.20
O  0.9633  0.6172  0.2966  1 Pt 2.04, 1 Sn 2.12


The following is a PBE-GGA calculation of a geometry-optimized USiN2 structure, from the Alexandria database.

ρ	7.954	Mg/m³
E	-35.591	eV/f.u.
calculated volume	15.4	Å³ per atom

a = 5.8230 Å, b = 5.8230 Å, c = 5.8230 Å
α = 36.13°, β = 36.13°, γ = 36.13°
With the nearest neighbours (Å) after each atom.
Fractional coordinates of all 4 atoms:
U  0.0000  0.0000  0.0000  6 N 2.29
Si  0.5000  0.5000  0.5000  2 N 1.78
N  0.3912  0.3912  0.3912  1 Si 1.78
N  0.6088  0.6088  0.6088  1 Si 1.78


The following is a PBE-GGA calculation of a geometry-optimized NdDyInPb structure, from the Alexandria database.

distance to the lowest polymorph of the same formula	43	meV per atom
ρ	9.044	Mg/m³
E	-17.529	eV/f.u.
DFT formation energy	-0.428	eV/atom
calculated volume	28.9	Å³ per atom

a = 5.4654 Å, b = 5.4654 Å, c = 5.4654 Å
α = 60.00°, β = 60.00°, γ = 60.00°
With the nearest neighbours (Å) after each atom.
Fractional coordinates of all 4 atoms:
Nd  0.0000  0.0000  0.0000  4 In 3.35, 4 Pb 3.35
Dy  0.5000  0.5000  0.5000  4 Pb 3.35, 4 In 3.35
In  0.2500  0.2500  0.2500  4 Dy 3.35, 4 Nd 3.35
Pb  0.7500  0.7500  0.7500  4 Dy 3.35, 4 Nd 3.35


The following is a PBE-GGA calculation of a geometry-optimized Tb12PrSm2 structure, from the Alexandria database.

ρ	7.483	Mg/m³
E	-65.116	eV/f.u.
DFT formation energy	0.311	eV/atom
calculated volume	34.7	Å³ per atom

a = 6.4386 Å, b = 6.4386 Å, c = 25.1443 Å
α = 90.00°, β = 90.00°, γ = 90.00°
With the nearest neighbours (Å) after each atom.
Fractional coordinates of all 30 atoms:
Tb  0.0658  0.5658  0.1178  7 Tb 3.33-3.43, 1 Pr 3.40
Tb  0.0658  0.9342  0.8822  7 Tb 3.33-3.43, 1 Pr 3.40
Tb  0.0819  0.5819  0.4393  6 Tb 3.06-3.40
Tb  0.0819  0.9181  0.5607  6 Tb 3.06-3.40
Tb  0.2500  0.2500  0.2171  5 Tb 3.10-3.43
Tb  0.2500  0.2500  0.3403  5 Tb 3.10-3.45
Tb  0.2500  0.2500  0.6597  5 Tb 3.10-3.45
Tb  0.2500  0.2500  0.7829  5 Tb 3.10-3.43
Tb  0.4181  0.5819  0.5607  6 Tb 3.06-3.40
Tb  0.4181  0.9181  0.4393  6 Tb 3.06-3.40
Tb  0.4342  0.5658  0.8822  7 Tb 3.33-3.43, 1 Pr 3.40
Tb  0.4342  0.9342  0.1178  7 Tb 3.33-3.43, 1 Pr 3.40
Tb  0.5658  0.0658  0.8822  7 Tb 3.33-3.43, 1 Pr 3.40
Tb  0.5658  0.4342  0.1178  7 Tb 3.33-3.43, 1 Pr 3.40
Tb  0.5819  0.0819  0.5607  6 Tb 3.06-3.40
Tb  0.5819  0.4181  0.4393  6 Tb 3.06-3.40
Tb  0.7500  0.7500  0.2171  5 Tb 3.10-3.43
Tb  0.7500  0.7500  0.3403  5 Tb 3.10-3.45
Tb  0.7500  0.7500  0.6597  5 Tb 3.10-3.45
Tb  0.7500  0.7500  0.7829  5 Tb 3.10-3.43
Tb  0.9181  0.0819  0.4393  6 Tb 3.06-3.40
Tb  0.9181  0.4181  0.5607  6 Tb 3.06-3.40
Tb  0.9342  0.0658  0.1178  7 Tb 3.33-3.43, 1 Pr 3.40
Tb  0.9342  0.4342  0.8822  7 Tb 3.33-3.43, 1 Pr 3.40
Pr  0.2500  0.7500  0.0000  4 Tb 3.40
Pr  0.7500  0.2500  0.0000  4 Tb 3.40
Sm  0.2500  0.7500  0.2735  8 Tb 3.52-3.63
Sm  0.2500  0.7500  0.7266  8 Tb 3.52-3.63
Sm  0.7500  0.2500  0.2735  8 Tb 3.52-3.63
Sm  0.7500  0.2500  0.7266  8 Tb 3.52-3.63


The following is a PBE-GGA calculation of a geometry-optimized RbNi2BP structure, from the Alexandria database.

ρ	4.900	Mg/m³
E	-20.974	eV/f.u.
DFT formation energy	0.729	eV/atom
calculated volume	16.6	Å³ per atom

a = 4.4764 Å, b = 4.4764 Å, c = 4.1372 Å
α = 90.00°, β = 90.00°, γ = 90.00°
With the nearest neighbours (Å) after each atom.
Fractional coordinates of all 5 atoms:
Rb  0.0000  0.0000  0.0000  8 Ni 3.05, 4 B 3.17
Ni  0.0000  0.5000  0.5000  2 P 2.24
Ni  0.5000  0.0000  0.5000  2 P 2.24
B  0.5000  0.5000  0.0000  2 P 2.07
P  0.5000  0.5000  0.5000  2 B 2.07, 4 Ni 2.24


The following is a PBE-GGA calculation of a geometry-optimized NbAl3Br structure, from the Alexandria database.

distance to the lowest polymorph of the same formula	417	meV per atom
ρ	3.785	Mg/m³
E	-16.990	eV/f.u.
calculated volume	22.3	Å³ per atom

a = 4.8104 Å, b = 4.8104 Å, c = 4.8104 Å
α = 90.00°, β = 90.00°, γ = 90.00°
With the nearest neighbours (Å) after each atom.
Fractional coordinates of all 5 atoms:
Nb  0.0000  0.0000  0.0000  12 Al 3.40
Al  0.0000  0.5000  0.5000  2 Br 2.41
Al  0.5000  0.0000  0.5000  2 Br 2.41
Al  0.5000  0.5000  0.0000  2 Br 2.41
Br  0.5000  0.5000  0.5000  6 Al 2.41


The following is a PBE-GGA calculation of a geometry-optimized TbZrTlRh structure, from the Alexandria database.

ρ	10.477	Mg/m³
E	-24.097	eV/f.u.
DFT formation energy	-0.300	eV/atom
calculated volume	22.1	Å³ per atom

a = 4.9994 Å, b = 4.9994 Å, c = 4.9994 Å
α = 60.00°, β = 60.00°, γ = 60.00°
With the nearest neighbours (Å) after each atom.
Fractional coordinates of all 4 atoms:
Tb  0.0000  0.0000  0.0000  4 Tl 3.06, 4 Rh 3.06
Zr  0.5000  0.5000  0.5000  4 Tl 3.06, 4 Rh 3.06
Tl  0.7500  0.7500  0.7500  4 Zr 3.06, 4 Tb 3.06
Rh  0.2500  0.2500  0.2500  4 Zr 3.06, 4 Tb 3.06


Please write out number 4 again, unchanged.
The following is a PBE-GGA calculation of a geometry-optimized Y12Fe6Hg structure, from the Alexandria database.

ρ	5.774	Mg/m³
E	-129.811	eV/f.u.
DFT formation energy	-0.061	eV/atom
calculated volume	24.3	Å³ per atom

a = 8.4284 Å, b = 8.4284 Å, c = 8.4284 Å
α = 109.47°, β = 109.47°, γ = 109.47°
With the nearest neighbours (Å) after each atom.
Fractional coordinates of all 19 atoms:
Y  0.1029  0.8053  0.2976  3 Fe 2.74-2.93
Y  0.1947  0.2976  0.4923  3 Fe 2.74-2.93
Y  0.1947  0.7024  0.8971  3 Fe 2.74-2.93
Y  0.2976  0.1029  0.8053  3 Fe 2.74-2.93
Y  0.2976  0.4923  0.1947  3 Fe 2.74-2.93
Y  0.4923  0.1947  0.2976  3 Fe 2.74-2.93
Y  0.5077  0.8053  0.7024  3 Fe 2.74-2.93
Y  0.7024  0.5077  0.8053  3 Fe 2.74-2.93
Y  0.7024  0.8971  0.1947  3 Fe 2.74-2.93
Y  0.8053  0.2976  0.1029  3 Fe 2.74-2.93
Y  0.8053  0.7024  0.5077  3 Fe 2.74-2.93
Y  0.8971  0.1947  0.7024  3 Fe 2.74-2.93
Fe  0.1090  0.6090  0.5000  1 Fe 2.12
Fe  0.3910  0.5000  0.8910  1 Fe 2.12
Fe  0.5000  0.1090  0.6090  1 Fe 2.12
Fe  0.5000  0.8910  0.3910  1 Fe 2.12
Fe  0.6090  0.5000  0.1090  1 Fe 2.12
Fe  0.8910  0.3910  0.5000  1 Fe 2.12
Hg  0.0000  0.0000  0.0000  12 Y 3.46